Compound: BaSr2ZrCd
Source: the Alexandria database
Functional: GGA-PBE
Structure: relaxed

abc: 6.341 5.407 6.341
angles: 90.00 90.00 90.00
Atoms (fractional coordinates):
Sr (0.000, 0.000, 0.500)
Sr (0.500, 0.000, 0.000)
Ba (0.000, 0.000, 0.000)
Zr (0.000, 0.500, 0.000)
Cd (0.500, 0.500, 0.500)

***

Compound: Ba2TaCd
Source: the Alexandria database
Functional: GGA-PBE
Structure: relaxed

Results
- excess energy over the best structure of this formula in the dataset (kJ/mol of formula units) = 35

abc: 5.270 3.576 7.369
angles: 76.04 90.00 90.00
Atoms (fractional coordinates):
Cd (0.000, 0.672, 0.529)
Ba (0.000, 0.972, 0.933)
Ba (0.500, 0.280, 0.312)
Ta (0.500, 0.576, 0.726)

***

Compound: BaTaCd3
Source: the Alexandria database
Functional: GGA-PBE
Structure: relaxed

Results
- excess energy over the best structure of this formula in the dataset (kJ/mol of formula units) = 722

abc: 6.216 6.216 6.216
angles: 90.00 90.00 90.00
Site moments in Bohr magnetons follow the coordinates.
Atoms (fractional coordinates):
Cd (0.000, 0.500, 0.000)  0.02
Cd (0.000, 0.000, 0.500)  0.01
Cd (0.500, 0.000, 0.000)  0.02
Ba (0.000, 0.000, 0.000)  0.09
Ta (0.500, 0.500, 0.500)  -0.54

***

no.,final energy (eV per atom),energy relative to the elements (meV/atom),density of states at the Fermi level (states/eV per cell)
1,-1.86,1089,5.9
2,-3.48,676,4.2
3,-1.34,1963,10.9